(1)
Computed, not measured: a relaxed structure of Sc4HgPd2Rh at the PBE level of DFT.

Values from the calculation:
Total magnetic moment = 0.0 Bohr magnetons per cell
Fermi-level density of states = 0.510 states/eV per atom
E_tot = -6.2141 eV/atom

abc: 8.2368 8.2368 8.2368
angles: 33.30 33.30 33.30
Atoms (fractional coordinates):
Sc 0.1178 0.1178 0.1178
Sc 0.3701 0.3701 0.3701
Sc 0.6299 0.6299 0.6299
Sc 0.8822 0.8822 0.8822
Hg 0.5000 0.5000 0.5000
Pd 0.2510 0.2510 0.2510
Pd 0.7490 0.7490 0.7490
Rh 0.0000 0.0000 0.0000



(2)
Computed, not measured: a relaxed structure of Tb4HgPdRh2 at the PBE level of DFT.

Values from the calculation:
Total magnetic moment = 0.0 Bohr magnetons per cell
Fermi-level density of states = 0.653 states/eV per atom
E_tot = -5.5707 eV/atom

abc: 8.6869 8.6869 8.6869
angles: 33.42 33.42 33.42
Atoms (fractional coordinates):
Tb 0.1203 0.1203 0.1203
Tb 0.3716 0.3716 0.3716
Tb 0.6284 0.6284 0.6284
Tb 0.8797 0.8797 0.8797
Hg 0.5000 0.5000 0.5000
Pd 0.0000 0.0000 0.0000
Rh 0.2512 0.2512 0.2512
Rh 0.7488 0.7488 0.7488